No. 1
The following is a PBE-GGA calculation of a relaxed structure of Ti4AsP, from Alexandria via LeMat-Bulk.

a = 5.855 Å, b = 5.962 Å, c = 6.022 Å
α = 90.00°, β = 94.13°, γ = 90.00°
Atoms (fractional coordinates):
Ti 0.137 0.151 0.165
Ti 0.137 0.349 0.665
Ti 0.361 0.638 0.125
Ti 0.361 0.862 0.625
Ti 0.639 0.138 0.375
Ti 0.639 0.362 0.875
Ti 0.863 0.651 0.335
Ti 0.863 0.849 0.835
As 0.500 0.000 0.000
As 0.500 0.500 0.500
P 0.000 0.000 0.500
P 0.000 0.500 0.000

## Properties
* calculated volume: 17.47 A^3/atom
* final energy: -7.485 eV per atom
* magnetization: 0.0 μB per cell
* energy of formation: -52.6 kJ per mole of atoms



No. 2
The following is a PBE-GGA calculation of a relaxed structure of Sr2MgBr, from Alexandria via LeMat-Bulk.

a = 11.261 Å, b = 11.261 Å, c = 11.261 Å
α = 21.41°, β = 21.41°, γ = 21.41°
Atoms (fractional coordinates):
Sr 0.000 0.000 0.000
Sr 0.227 0.227 0.227
Mg 0.748 0.748 0.748
Br 0.499 0.499 0.499

## Properties
* calculated volume: 41.69 A^3/atom
* final energy: -2.184 eV per atom
* excess energy over the best structure of this formula in the dataset: 196 meV/atom
* magnetization: 0.5 μB per cell



No. 3
The following is a PBE-GGA calculation of a relaxed structure of RbGaOF2, from Alexandria via LeMat-Bulk.

a = 4.351 Å, b = 4.351 Å, c = 3.635 Å
α = 90.00°, β = 90.00°, γ = 90.00°
Atoms (fractional coordinates):
Rb 0.000 0.000 0.000
Ga 0.500 0.500 0.500
O 0.500 0.500 0.000
F 0.000 0.500 0.500
F 0.500 0.000 0.500

## Properties
* calculated volume: 13.76 A^3/atom
* final energy: -4.802 eV per atom
* excess energy over the best structure of this formula in the dataset: 0 meV/atom
* magnetization: 0.0 μB per cell



No. 4
The following is a PBE-GGA calculation of a relaxed structure of BaYZr2, from Alexandria via LeMat-Bulk.

a = 5.797 Å, b = 5.797 Å, c = 3.492 Å
α = 90.00°, β = 90.00°, γ = 90.00°
Atoms (fractional coordinates):
Ba 0.000 0.000 0.000
Y 0.500 0.500 0.000
Zr 0.000 0.500 0.500
Zr 0.500 0.000 0.500

## Properties
* calculated volume: 29.34 A^3/atom
* final energy: -5.757 eV per atom
* excess energy over the best structure of this formula in the dataset: 340 meV/atom
* magnetization: 0.0 μB per cell
* energy of formation: 59.3 kJ per mole of atoms



No. 5
The following is a PBE-GGA calculation of a relaxed structure of SmTh3Sc2, from Alexandria via LeMat-Bulk.

a = 3.520 Å, b = 3.520 Å, c = 14.438 Å
α = 90.00°, β = 90.00°, γ = 90.00°
Atoms (fractional coordinates):
Sm 0.000 0.000 0.000
Th 0.500 0.500 0.179
Th 0.500 0.500 0.500
Th 0.500 0.500 0.821
Sc 0.000 0.000 0.340
Sc 0.000 0.000 0.660

## Properties
* calculated volume: 29.81 A^3/atom
* final energy: -6.558 eV per atom
* magnetization: 0.0 μB per cell
* energy of formation: 4.7 kJ per mole of atoms



No. 6
The following is a PBE-GGA calculation of a relaxed structure of Al4Tl, from Alexandria via LeMat-Bulk.

a = 5.276 Å, b = 5.276 Å, c = 5.276 Å
α = 90.00°, β = 90.00°, γ = 90.00°
Atoms (fractional coordinates):
Al 0.000 0.000 0.000
Al 0.000 0.500 0.500
Al 0.500 0.000 0.500
Al 0.500 0.500 0.000
Tl 0.500 0.500 0.500

## Properties
* calculated volume: 29.37 A^3/atom
* final energy: -2.409 eV per atom
* excess energy over the best structure of this formula in the dataset: 826 meV/atom
* magnetization: 0.0 μB per cell
* energy of formation: 102.1 kJ per mole of atoms



No. 7
The following is a PBE-GGA calculation of a relaxed structure of AgAs3I, from Alexandria via LeMat-Bulk.

a = 5.094 Å, b = 5.094 Å, c = 5.094 Å
α = 90.00°, β = 90.00°, γ = 90.00°
Atoms (fractional coordinates):
Ag 0.000 0.000 0.000
As 0.000 0.000 0.500
As 0.000 0.500 0.000
As 0.500 0.000 0.000
I 0.500 0.500 0.500

## Properties
* calculated volume: 26.44 A^3/atom
* final energy: -2.757 eV per atom
* excess energy over the best structure of this formula in the dataset: 0 meV/atom
* magnetization: 0.0 μB per cell



No. 8
The following is a PBE-GGA calculation of a relaxed structure of K2LiMgHg, from Alexandria via LeMat-Bulk.

a = 6.477 Å, b = 6.477 Å, c = 5.503 Å
α = 90.00°, β = 90.00°, γ = 90.00°
Atoms (fractional coordinates):
K 0.000 0.500 0.000
K 0.500 0.000 0.000
Li 0.000 0.000 0.000
Mg 0.000 0.000 0.500
Hg 0.500 0.500 0.500

## Properties
* calculated volume: 46.17 A^3/atom
* final energy: -0.966 eV per atom
* magnetization: 0.0 μB per cell
* energy of formation: 22.6 kJ per mole of atoms



Question: What is the formula in the fifth record?
Answer: SmTh3Sc2